# 1
Below is TiP2CO after structural relaxation, with properties calculated at the GGA-PBE level. Values from VASP.

Energy above the lowest structure with this stoichiometry   0.000 eV per atom
Mass density   3.9 g/cm3
Raw formation energy   537 meV/atom
Raw total energy   -30.21 eV/cell

```
&SYSTEM
  ibrav = 0, nat = 5, ntyp = 4
/
ATOMIC_SPECIES
P 30.97 P.upf
C 12.01 C.upf
O 16.00 O.upf
Ti 47.87 Ti.upf
CELL_PARAMETERS angstrom
-3.099 1.417 -1.676
-1.789 0.051 3.349
1.367 3.785 0.673
ATOMIC_POSITIONS crystal
P 0.000 0.500 0.000
P 0.500 0.000 0.000
C 0.000 0.000 0.000
O 0.000 0.000 0.500
Ti 0.500 0.500 0.500
```

***

# 2
Below is Al2TeP after structural relaxation, with properties calculated at the GGA-PBE level. Values from VASP.

Energy above the lowest structure with this stoichiometry   0.060 eV per atom
Mass density   3.6 g/cm3
Raw formation energy   -220 meV/atom
Raw total energy   -33.83 eV/cell

```
&SYSTEM
  ibrav = 0, nat = 8, ntyp = 3
/
ATOMIC_SPECIES
P 30.97 P.upf
Te 127.60 Te.upf
Al 26.98 Al.upf
CELL_PARAMETERS angstrom
6.391 0.000 0.000
0.000 6.391 0.000
3.195 3.195 4.797
ATOMIC_POSITIONS crystal
P 0.500 0.500 0.000
P 0.250 0.750 0.500
Te 0.000 0.000 0.000
Te 0.750 0.250 0.500
Al 0.577 0.125 0.250
Al 0.173 0.625 0.250
Al 0.375 0.423 0.750
Al 0.875 0.827 0.750
```

***

# 3
Below is GdAgSnIr after structural relaxation, with properties calculated at the GGA-PBE level. Values from VASP.

Mass density   11.8 g/cm3
Raw total energy   -31.39 eV/cell

```
&SYSTEM
  ibrav = 0, nat = 4, ntyp = 4
/
ATOMIC_SPECIES
Gd 157.25 Gd.upf
Ir 192.22 Ir.upf
Sn 118.71 Sn.upf
Ag 107.87 Ag.upf
CELL_PARAMETERS angstrom
-2.310 -4.207 0.781
2.547 -4.101 0.583
0.225 -2.122 4.369
ATOMIC_POSITIONS crystal
Gd 0.000 0.000 0.000
Ir 0.750 0.750 0.750
Sn 0.500 0.500 0.500
Ag 0.250 0.250 0.250
```

***

# 4
Below is CaPd2C after structural relaxation, with properties calculated at the GGA-PBE level. Values from VASP.

Mass density   5.3 g/cm3
Raw total energy   -42.18 eV/cell

```
&SYSTEM
  ibrav = 0, nat = 8, ntyp = 3
/
ATOMIC_SPECIES
Ca 40.08 Ca.upf
C 12.01 C.upf
Pd 106.42 Pd.upf
CELL_PARAMETERS angstrom
5.191 0.000 0.000
0.000 5.191 0.000
2.596 2.596 6.145
ATOMIC_POSITIONS crystal
Ca 0.000 0.000 0.000
Ca 0.750 0.250 0.500
C 0.500 0.500 0.000
C 0.250 0.750 0.500
Pd 0.374 0.125 0.250
Pd 0.376 0.625 0.250
Pd 0.375 0.626 0.750
Pd 0.875 0.624 0.750
```

***

- Which formula does entry 3 have?
  GdAgSnIr

***

- Among the records above, which one has the lowest raw total energy?
  CaPd2C